Record 1
VASP calculation (GGA-PBE) on a geometry-optimized HfMgSe structure.

a b c (Å): 3.610 3.610 9.895
angles (deg): 90.00 90.00 90.00
Atoms (fractional coordinates):
Hf: 0.000 0.000 0.000
Hf: 0.500 0.500 0.191
Mg: 0.000 0.000 0.372
Mg: 0.500 0.500 0.568
Se: 0.000 0.000 0.649
Se: 0.500 0.500 0.903

Values from the calculation:
- total energy (hartree per atom) = -0.208
- theoretical density (g/cm³) = 7.3
- formation energy (no corrections) (eV/f.u.) = -1.9
- calculated volume (Å³/f.u.) = 64.46
- polymorph energy (0 for the lowest one) (meV per atom) = 0
- crystal system = tetragonal

---

Record 2
VASP calculation (GGA-PBE) on a geometry-optimized YSb2As structure.

a b c (Å): 6.346 6.346 4.356
angles (deg): 94.49 94.49 38.36
Atoms (fractional coordinates):
Y: 0.000 0.000 0.000
Sb: 0.268 0.268 0.232
Sb: 0.732 0.732 0.768
As: 0.500 0.500 0.500

Values from the calculation:
- total energy (hartree per atom) = -0.198
- theoretical density (g/cm³) = 6.2
- formation energy (no corrections) (eV/f.u.) = -2.2
- calculated volume (Å³/f.u.) = 108.47
- crystal system = monoclinic

---

Record 3
VASP calculation (GGA-PBE) on a geometry-optimized Ce3POs structure.

a b c (Å): 8.676 6.683 8.862
angles (deg): 90.00 119.41 90.00
Atoms (fractional coordinates):
Ce: 0.139 0.018 0.317
Ce: 0.139 0.482 0.817
Ce: 0.314 0.510 0.214
Ce: 0.314 0.990 0.714
Ce: 0.319 0.515 0.591
Ce: 0.319 0.985 0.091
Ce: 0.681 0.015 0.909
Ce: 0.681 0.485 0.409
Ce: 0.686 0.010 0.286
Ce: 0.686 0.490 0.786
Ce: 0.861 0.518 0.183
Ce: 0.861 0.982 0.683
P: 0.004 0.249 0.001
P: 0.004 0.251 0.501
P: 0.996 0.749 0.499
P: 0.996 0.751 0.999
Os: 0.482 0.196 0.492
Os: 0.482 0.304 0.992
Os: 0.518 0.696 0.008
Os: 0.518 0.804 0.508

Values from the calculation:
- total energy (hartree per atom) = -0.274
- theoretical density (g/cm³) = 9.5
- calculated volume (Å³/f.u.) = 111.89
- ΔE_f (eV/f.u.) = -2.823
- crystal system = monoclinic

---

Record 4
VASP calculation (GGA-PBE) on a geometry-optimized Tc2IrN structure.

a b c (Å): 6.060 6.060 6.060
angles (deg): 130.21 130.21 73.07
Atoms (fractional coordinates):
Tc: 0.050 0.625 0.925
Tc: 0.375 0.300 0.425
Tc: 0.700 0.125 0.075
Tc: 0.875 0.950 0.575
Ir: 0.250 0.750 0.500
Ir: 0.500 0.500 0.000
N: 0.000 0.000 0.000
N: 0.750 0.250 0.500

Values from the calculation:
- total energy (hartree per atom) = -0.333
- theoretical density (g/cm³) = 10.5
- formation energy (no corrections) (eV/f.u.) = 1.7
- calculated volume (Å³/f.u.) = 63.36
- crystal system = tetragonal

---

Record 5
VASP calculation (GGA-PBE) on a geometry-optimized MgSe5 structure.

a b c (Å): 5.004 5.004 7.006
angles (deg): 90.00 90.00 120.00
Atoms (fractional coordinates):
Mg: 0.000 0.000 0.000
Se: 0.000 0.715 0.500
Se: 0.285 0.285 0.500
Se: 0.333 0.667 0.000
Se: 0.667 0.333 0.000
Se: 0.715 0.000 0.500

Values from the calculation:
- total energy (hartree per atom) = -0.111
- theoretical density (g/cm³) = 4.6
- formation energy (no corrections) (eV/f.u.) = 0.9
- calculated volume (Å³/f.u.) = 151.93
- crystal system = hexagonal

---

Record 6
VASP calculation (GGA-PBE) on a geometry-optimized KBiO2 structure.

a b c (Å): 7.569 7.569 7.569
angles (deg): 27.68 27.68 27.68
Atoms (fractional coordinates):
K: 0.000 0.000 0.000
Bi: 0.500 0.500 0.500
O: 0.111 0.111 0.111
O: 0.889 0.889 0.889

Values from the calculation:
- total energy (hartree per atom) = -0.176
- theoretical density (g/cm³) = 5.6
- formation energy (no corrections) (eV/f.u.) = -4.2
- calculated volume (Å³/f.u.) = 82.59
- crystal system = trigonal

---

Record 7
VASP calculation (GGA-PBE) on a geometry-optimized TlSb2Os structure.

a b c (Å): 3.210 3.210 9.217
angles (deg): 90.00 90.00 90.00
Atoms (fractional coordinates):
Tl: 0.000 0.000 0.000
Sb: 0.000 0.000 0.385
Sb: 0.500 0.500 0.696
Os: 0.500 0.500 0.224

Values from the calculation:
- total energy (hartree per atom) = -0.183
- theoretical density (g/cm³) = 11.2
- formation energy (no corrections) (eV/f.u.) = 1.9
- calculated volume (Å³/f.u.) = 94.96
- polymorph energy (0 for the lowest one) (meV per atom) = 255
- crystal system = tetragonal

---

Record 8
VASP calculation (GGA-PBE) on a geometry-optimized K5TeO4F2 structure.

a b c (Å): 7.663 6.218 6.218
angles (deg): 118.00 90.00 90.00
Atoms (fractional coordinates):
K: 0.000 0.000 0.000
K: 0.255 0.316 0.687
K: 0.255 0.687 0.316
K: 0.745 0.316 0.687
K: 0.745 0.687 0.316
Te: 0.500 0.019 0.019
O: 0.299 0.203 0.203
O: 0.500 0.693 0.992
O: 0.500 0.992 0.693
O: 0.701 0.203 0.203
F: 0.000 0.572 0.974
F: 0.000 0.974 0.572

Values from the calculation:
- total energy (hartree per atom) = -0.165
- theoretical density (g/cm³) = 2.7
- formation energy (no corrections) (eV/f.u.) = -21.7
- calculated volume (Å³/f.u.) = 261.59
- crystal system = orthorhombic